DFT (PBE-GGA) results for an optimized crystal structure of Tm3CoBi2.

a b c (Å): 6.001 15.877 3.524
angles (deg): 90.00 90.00 90.00
Sites, in units of the cell vectors:
Tm1 0.000 0.000 0.000
Tm2 0.000 0.384 0.500
Tm3 0.000 0.616 0.500
Tm4 0.500 0.116 0.500
Tm5 0.500 0.500 0.000
Tm6 0.500 0.884 0.500
Co1 0.000 0.500 0.000
Co2 0.500 0.000 0.000
Bi1 0.000 0.175 0.500
Bi2 0.000 0.825 0.500
Bi3 0.500 0.325 0.500
Bi4 0.500 0.675 0.500

Results
V ... 27.98 Å³ per atom
Total energy ... -4.98 eV per atom
ΔH_f (0 K) ... -0.2692 eV per atom